i.
# V2AsBr (PBE, optimized geometry)
# - Total magnetic moment: 1.5031 μB/atom
data_V2AsBr
_symmetry_space_group_name_H-M 'I -4 2 d'
_symmetry_Int_Tables_number 122
_symmetry_space_group_name_Hall 'I -4 2bw'
_cell_length_a 5.7889
_cell_length_b 5.7889
_cell_length_c 12.0110
_cell_angle_alpha 90.00
_cell_angle_beta 90.00
_cell_angle_gamma 90.00
loop_
_atom_site_label
_atom_site_fract_x
_atom_site_fract_y
_atom_site_fract_z
V1 0.2224 0.2500 0.1250
As1 0.0000 0.0000 0.0000
Br1 0.0000 0.0000 0.5000

ii.
# V2AsBr (PBE, optimized geometry)
# - Total magnetic moment: 0.5685 μB/atom
data_V2AsBr
_symmetry_space_group_name_H-M 'F m -3 m'
_symmetry_Int_Tables_number 225
_symmetry_space_group_name_Hall '-F 4 2 3'
_cell_length_a 6.2859
_cell_length_b 6.2859
_cell_length_c 6.2859
_cell_angle_alpha 90.00
_cell_angle_beta 90.00
_cell_angle_gamma 90.00
loop_
_atom_site_label
_atom_site_fract_x
_atom_site_fract_y
_atom_site_fract_z
V1 0.2500 0.2500 0.2500
As1 0.0000 0.0000 0.0000
Br1 0.0000 0.0000 0.5000

What are the relative energies? In kJ/mol of atoms: i 1.4; ii 0.0.

i.
# VAsBr3 (PBE, optimized geometry)
# - Total magnetic moment: 1.0000 μB/atom
data_VAsBr3
_symmetry_space_group_name_H-M 'P m -3 m'
_symmetry_Int_Tables_number 221
_symmetry_space_group_name_Hall '-P 4 2 3'
_cell_length_a 5.1730
_cell_length_b 5.1730
_cell_length_c 5.1730
_cell_angle_alpha 90.00
_cell_angle_beta 90.00
_cell_angle_gamma 90.00
loop_
_atom_site_label
_atom_site_fract_x
_atom_site_fract_y
_atom_site_fract_z
V1 0.0000 0.0000 0.0000
As1 0.5000 0.5000 0.5000
Br1 0.0000 0.0000 0.5000

ii.
# VAsBr3 (PBE, optimized geometry)
# - Total magnetic moment: 0.8009 μB/atom
data_VAsBr3
_symmetry_space_group_name_H-M 'P m -3 m'
_symmetry_Int_Tables_number 221
_symmetry_space_group_name_Hall '-P 4 2 3'
_cell_length_a 5.3429
_cell_length_b 5.3429
_cell_length_c 5.3429
_cell_angle_alpha 90.00
_cell_angle_beta 90.00
_cell_angle_gamma 90.00
loop_
_atom_site_label
_atom_site_fract_x
_atom_site_fract_y
_atom_site_fract_z
V1 0.0000 0.0000 0.0000
As1 0.5000 0.5000 0.5000
Br1 0.0000 0.5000 0.5000

What are the relative energies? In kJ/mol of atoms: i 0.0; ii 37.8.

i.
# YVAsBr2 (PBE, optimized geometry)
# - Total magnetic moment: 0.6073 μB/atom
data_YVAsBr2
_symmetry_space_group_name_H-M 'P 4/m m m'
_symmetry_Int_Tables_number 123
_symmetry_space_group_name_Hall '-P 4 2'
_cell_length_a 5.4182
_cell_length_b 5.4182
_cell_length_c 5.7299
_cell_angle_alpha 90.00
_cell_angle_beta 90.00
_cell_angle_gamma 90.00
loop_
_atom_site_label
_atom_site_fract_x
_atom_site_fract_y
_atom_site_fract_z
Y1 0.0000 0.0000 0.0000
V1 0.5000 0.5000 0.5000
As1 0.0000 0.0000 0.5000
Br1 0.0000 0.5000 0.0000

ii.
# YVAsBr2 (PBE, optimized geometry)
# - Total magnetic moment: 0.5872 μB/atom
data_YVAsBr2
_symmetry_space_group_name_H-M 'P 4/m m m'
_symmetry_Int_Tables_number 123
_symmetry_space_group_name_Hall '-P 4 2'
_cell_length_a 4.9034
_cell_length_b 4.9034
_cell_length_c 5.2564
_cell_angle_alpha 90.00
_cell_angle_beta 90.00
_cell_angle_gamma 90.00
loop_
_atom_site_label
_atom_site_fract_x
_atom_site_fract_y
_atom_site_fract_z
Y1 0.0000 0.0000 0.0000
V1 0.5000 0.5000 0.5000
As1 0.5000 0.5000 0.0000
Br1 0.0000 0.5000 0.5000

What are the relative energies? In kJ/mol of atoms: i 27.3; ii 0.0.

i.
# VZnAs2Br (PBE, optimized geometry)
# - Total magnetic moment: 0.5132 μB/atom
data_VZnAs2Br
_symmetry_space_group_name_H-M 'P 4/m m m'
_symmetry_Int_Tables_number 123
_symmetry_space_group_name_Hall '-P 4 2'
_cell_length_a 4.7202
_cell_length_b 4.7202
_cell_length_c 5.4085
_cell_angle_alpha 90.00
_cell_angle_beta 90.00
_cell_angle_gamma 90.00
loop_
_atom_site_label
_atom_site_fract_x
_atom_site_fract_y
_atom_site_fract_z
V1 0.0000 0.0000 0.0000
Zn1 0.5000 0.5000 0.5000
As1 0.0000 0.5000 0.5000
Br1 0.5000 0.5000 0.0000

ii.
# VZnAs2Br (PBE, optimized geometry)
# - Total magnetic moment: 0.0274 μB/atom
data_VZnAs2Br
_symmetry_space_group_name_H-M 'P 4/m m m'
_symmetry_Int_Tables_number 123
_symmetry_space_group_name_Hall '-P 4 2'
_cell_length_a 4.6904
_cell_length_b 4.6904
_cell_length_c 5.3873
_cell_angle_alpha 90.00
_cell_angle_beta 90.00
_cell_angle_gamma 90.00
loop_
_atom_site_label
_atom_site_fract_x
_atom_site_fract_y
_atom_site_fract_z
V1 0.0000 0.0000 0.0000
Zn1 0.5000 0.5000 0.5000
As1 0.0000 0.5000 0.0000
Br1 0.0000 0.0000 0.5000

What are the relative energies? In kJ/mol of atoms: i 52.5; ii 0.0.